SrMg2Cu | Alexandria | GGA-PBE | relaxed; density = 3.19 Mg/m³; calculated formation energy = 125 meV per atom; SG = Pmmm
1.0
4.232 0.000 0.000
0.000 4.681 0.000
0.000 0.000 5.247
Sr Mg Cu
1 2 1
Direct
0.000 0.000 0.000 Sr
0.000 0.500 0.500 Mg
0.500 0.000 0.500 Mg
0.500 0.500 0.000 Cu

SrSiP2O8 | Alexandria | GGA-PBE | relaxed; density = 3.23 Mg/m³; E = -0.532 Ry/atom; SG = R-3m
1.0
2.465 1.423 7.466
-2.465 1.423 7.466
0.000 -2.847 7.466
Sr Si P O
1 1 2 8
Direct
0.000 0.000 0.000 Sr
0.500 0.500 0.500 Si
0.236 0.236 0.236 P
0.764 0.764 0.764 P
0.125 0.616 0.616 O
0.305 0.305 0.305 O
0.384 0.384 0.875 O
0.384 0.875 0.384 O
0.616 0.125 0.616 O
0.616 0.616 0.125 O
0.695 0.695 0.695 O
0.875 0.384 0.384 O

TbZrInGa | Alexandria | GGA-PBE | relaxed; density = 7.90 Mg/m³; calculated formation energy = -329 meV per atom; SG = F-43m
1.0
7.151 0.000 0.000
0.000 7.151 0.000
0.000 0.000 7.151
Tb Zr In Ga
4 4 4 4
Direct
0.000 0.000 0.000 Tb
0.000 0.500 0.500 Tb
0.500 0.000 0.500 Tb
0.500 0.500 0.000 Tb
0.000 0.000 0.500 Zr
0.000 0.500 0.000 Zr
0.500 0.000 0.000 Zr
0.500 0.500 0.500 Zr
0.250 0.250 0.750 In
0.250 0.750 0.250 In
0.750 0.250 0.250 In
0.750 0.750 0.750 In
0.250 0.250 0.250 Ga
0.250 0.750 0.750 Ga
0.750 0.250 0.750 Ga
0.750 0.750 0.250 Ga

ThPaS | Alexandria | GGA-PBE | relaxed; density = 10.23 Mg/m³; E = -0.566 Ry/atom; SG = C2/m
1.0
13.855 0.000 0.000
0.000 3.531 0.000
-1.206 0.000 6.574
Th Pa S
4 4 4
Direct
0.199 0.000 0.217 Th
0.301 0.500 0.783 Th
0.699 0.500 0.217 Th
0.801 0.000 0.783 Th
0.036 0.500 0.829 Pa
0.464 0.000 0.171 Pa
0.536 0.000 0.829 Pa
0.964 0.500 0.171 Pa
0.123 0.500 0.494 S
0.377 0.000 0.506 S
0.623 0.000 0.494 S
0.877 0.500 0.506 S

CdTe4Ir | Alexandria | GGA-PBE | relaxed; density = 8.12 Mg/m³; E = -0.196 Ry/atom; SG = F-43m
1.0
0.000 4.367 4.367
4.367 0.000 4.367
4.367 4.367 0.000
Cd Te Ir
1 4 1
Direct
0.000 0.000 0.000 Cd
0.376 0.376 0.376 Te
0.376 0.376 0.873 Te
0.376 0.873 0.376 Te
0.873 0.376 0.376 Te
0.750 0.750 0.750 Ir

AlCoBr4 | Alexandria | GGA-PBE | relaxed; density = 3.74 Mg/m³; E = -0.143 Ry/atom; SG = F-43m
1.0
0.000 4.481 4.481
4.481 0.000 4.481
4.481 4.481 0.000
Al Co Br
1 1 4
Direct
0.000 0.000 0.000 Al
0.250 0.250 0.250 Co
0.128 0.624 0.624 Br
0.624 0.128 0.624 Br
0.624 0.624 0.128 Br
0.624 0.624 0.624 Br

Among the records above, which one has the lowest density? SrMg2Cu